DFT (PBE with a Hubbard U) results for a relaxed K2CoIr3O12 crystal.

a = 7.2176 Å, b = 7.2176 Å, c = 17.1380 Å
α = 90.00°, β = 90.00°, γ = 120.00°
Space group R-3m (No. 166, hexagonal axes)
One atom of each set of equivalent atoms:
K (0.0000, 0.0000, 0.1236)
Co (0.0000, 0.0000, 0.5000)
Ir (0.0000, 0.5000, 0.0000)
O (0.0674, 0.5337, 0.3573)
O (0.0720, 0.5360, 0.1064)

Output
E ... -6.03 eV/atom